SmSb GGA-PBE relaxed; crystal system = hexagonal; size of the total moment = 0.0 μB/f.u.; symmetry = P-6m2, No. 187; uncorrected energy = -5.35 eV per atom
1.0
4.231 0.000 0.000
-2.116 3.664 0.000
0.000 0.000 4.040
Sm Sb
1 1
Direct
0.000 0.000 0.000 Sm
0.333 0.667 0.500 Sb